6
Lattice="4.2492 0.0000 0.0000 -2.1246 3.6800 0.0000 0.0000 0.0000 11.5707" Properties=species:S:1:pos:R:3 comment="CdAsPb | the Alexandria database | PBE | relaxed" formation_enthalpy_0k_ev_per_atom=0.01 pbc="T T T"
Cd 0.0000 0.0000 4.3973
Cd 0.0000 0.0000 7.1734
As 2.1246 1.2267 2.9619
As 0.0000 2.4533 8.6088
Pb 2.1246 1.2267 10.1873
Pb 0.0000 2.4533 1.3834



4
Lattice="4.2256 0.0000 0.0000 0.0000 3.2798 -0.1173 0.0000 1.7457 7.1792" Properties=species:S:1:pos:R:3 comment="Cd2AsPb | the Alexandria database | PBE | relaxed" formation_enthalpy_0k_ev_per_atom=0.08 polymorph_energy_mev_per_atom=14 pbc="T T T"
Pb 0.0000 3.1792 3.3830
Cd 0.0000 4.7979 6.9410
Cd 2.1128 1.4885 1.5657
As 2.1128 3.0982 5.7651



4
Lattice="4.9228 0.0000 0.0000 0.0000 5.2157 0.0000 0.0000 0.0000 4.1781" Properties=species:S:1:pos:R:3 comment="CdAsPb2 | the Alexandria database | PBE | relaxed" formation_enthalpy_0k_ev_per_atom=0.11 polymorph_energy_mev_per_atom=56 pbc="T T T"
Cd 0.0000 2.6078 2.0890
As 2.4614 0.0000 2.0890
Pb 2.4614 2.6078 0.0000
Pb 0.0000 0.0000 0.0000



4
Lattice="6.4813 0.0492 -0.1838 5.4565 3.4979 -0.1838 -1.6565 -0.4922 4.8975" Properties=species:S:1:pos:R:3 comment="CdAs2Pb | the Alexandria database | PBE | relaxed" formation_enthalpy_0k_ev_per_atom=0.04 pbc="T T T"
Pb 2.5703 0.7637 1.1325
As 10.3511 3.0756 4.0656
As 5.0709 1.5067 2.7294
Cd 7.7110 2.2912 3.3975



4
Lattice="-2.8652 2.4440 -0.7259 -2.3353 -2.0776 2.2225 1.9477 4.0027 5.7884" Properties=species:S:1:pos:R:3 comment="CdAsPb2 | the Alexandria database | PBE | relaxed" formation_enthalpy_0k_ev_per_atom=0.08 polymorph_energy_mev_per_atom=26 pbc="T T T"
Cd -1.1905 3.0803 4.9378
Pb 1.8708 3.8446 5.5598
Pb -2.0208 1.3740 2.4704
As 1.0093 2.0742 2.9995



4
Lattice="-4.5396 3.1807 -2.4631 -5.8498 -0.4357 -1.5433 -3.7919 2.2594 3.4820" Properties=species:S:1:pos:R:3 comment="CdAsPb2 | the Alexandria database | PBE | relaxed" formation_enthalpy_0k_ev_per_atom=0.07 polymorph_energy_mev_per_atom=16 pbc="T T T"
Pb -10.3537 2.7654 -3.8753
Pb -10.9977 3.8421 -0.5596
Cd -3.4785 1.3479 0.3446
As -6.8313 2.2961 -0.7029



3
Lattice="4.9663 0.0000 0.0000 2.4832 4.3010 0.0000 2.4832 1.4337 4.0550" Properties=species:S:1:pos:R:3 comment="CdAsPb | the Alexandria database | PBE | relaxed" formation_enthalpy_0k_ev_per_atom=0.07 pbc="T T T"
Cd 0.0000 0.0000 0.0000
Pb 4.9663 2.8673 2.0275
As 7.4495 4.3010 3.0413



4
Lattice="3.4059 -0.0279 0.0000 -0.4863 3.3711 0.0000 0.0000 0.0000 8.6390" Properties=species:S:1:pos:R:3 comment="Cd2AsPb | the Alexandria database | PBE | relaxed" formation_enthalpy_0k_ev_per_atom=0.14 polymorph_energy_mev_per_atom=66 pbc="T T T"
As 1.4598 1.6716 6.4793
Cd 0.0000 0.0000 8.3791
Cd 0.0000 0.0000 4.5794
Pb 1.4598 1.6716 2.1598



8
Lattice="-1.8892 7.7579 1.3890 -4.5693 0.0856 -6.6931 -5.7272 3.0102 -0.9584" Properties=species:S:1:pos:R:3 comment="Cd2AsPb | the Alexandria database | PBE | relaxed" formation_enthalpy_0k_ev_per_atom=0.07 polymorph_energy_mev_per_atom=0 pbc="T T T"
Cd -4.6042 2.1060 -4.1901
Cd -9.7522 9.1171 -5.0751
Cd -6.9118 5.2026 -2.9927
Cd -3.1033 5.2818 -0.2672
As -6.7629 3.5088 -5.1518
As -3.2293 3.9218 -2.6521
Pb -5.4228 7.3450 -1.1107
Pb 0.0000 0.0000 0.0000



8
Lattice="6.8927 0.0000 0.0000 0.0000 6.8927 0.0000 3.4464 3.4464 6.1629" Properties=species:S:1:pos:R:3 comment="CdAsPb2 | the Alexandria database | PBE | relaxed" formation_enthalpy_0k_ev_per_atom=0.17 polymorph_energy_mev_per_atom=114 pbc="T T T"
Pb 1.8428 5.1695 1.5407
Pb 8.6159 8.4963 4.6222
Pb 5.0499 1.7232 1.5407
Pb 5.1695 5.2892 4.6222
Cd 0.0000 0.0000 0.0000
Cd 6.8927 3.4464 3.0815
As 3.4464 3.4464 0.0000
As 3.4464 6.8927 3.0815



4
Lattice="2.3879 -1.1562 4.3874 -1.1375 2.5653 4.2910 -2.5652 -2.3322 3.7774" Properties=species:S:1:pos:R:3 comment="CdAs2Pb | the Alexandria database | PBE | relaxed" formation_enthalpy_0k_ev_per_atom=0.22 pbc="T T T"
As -0.3287 -0.2308 3.1139
As -0.9862 -0.6923 9.3418
Pb -0.6575 -0.4615 6.2279
Cd 0.0000 0.0000 0.0000



80
Lattice="15.1188 0.0000 0.0000 -5.0396 14.2541 0.0000 -5.0396 -7.1271 12.3444" Properties=species:S:1:pos:R:3 comment="Cd3As5Pb12 | the Alexandria database | PBE | relaxed" formation_enthalpy_0k_ev_per_atom=0.13 pbc="T T T"
Cd 8.8193 4.4544 1.5431
Cd 1.2599 7.1271 3.0861
Cd 3.7797 0.0000 9.2583
Cd 6.2995 0.8909 4.6292
Cd -3.7797 2.6726 10.8014
Cd 11.3391 0.0000 3.0861
Cd -6.2995 7.1271 9.2583
Cd 1.2599 -0.8909 4.6292
Cd 3.7797 8.0179 7.7153
Cd 8.8193 9.7997 1.5431
Cd -3.7797 -2.6726 10.8014
Cd -1.2599 6.2362 7.7153
Pb -5.0746 5.7183 11.6851
Pb 6.5821 10.8505 3.3499
Pb -2.0432 -0.6853 5.5129
Pb 0.4765 8.6805 8.3352
Pb 8.0359 -0.8681 2.8223
Pb 2.9856 9.1106 0.8903
Pb 10.1142 1.4087 0.6593
Pb 2.0540 1.7628 11.0718
Pb -0.4658 8.8899 1.2727
Pb 1.5425 1.0394 7.4449
Pb -1.5425 -3.7234 8.9945
Pb -1.5425 4.7628 10.7948
Pb 7.5244 3.6969 4.6226
Pb 6.5821 2.3642 1.5496
Pb 2.4848 -2.2882 7.0625
Pb 7.0828 7.8123 6.8315
Pb 5.5054 -1.7628 11.0718
Pb -2.9963 7.9952 9.5221
Pb 5.5054 1.9836 11.4541
Pb 10.0442 -3.4302 7.7219
Pb -5.0046 10.5572 4.6226
Pb 2.0540 -1.9836 11.4541
Pb 7.0936 7.3478 2.1630
Pb 2.9856 5.3642 1.2727
Pb 3.4971 6.0877 4.8996
Pb 9.6026 0.6853 5.5129
Pb -0.4658 5.1435 0.8903
Pb 2.9963 1.5534 4.0092
Pb -0.9773 8.1664 4.8996
Pb 9.1018 -4.7628 10.7948
Pb 11.0565 3.4036 3.3499
Pb 5.0746 2.2882 7.0625
Pb 7.5244 12.8454 0.6593
Pb -4.5630 6.4418 6.8315
Pb 2.0432 5.5736 8.3352
Pb 10.5450 6.9063 2.1630
Pb -0.0350 4.8389 5.2819
Pb -4.0623 11.8899 1.5496
Pb -2.0540 -0.2207 10.1814
Pb -6.0169 3.7234 8.9945
Pb -0.4765 0.8681 2.8223
Pb -2.4848 3.4302 7.7219
Pb 4.5630 -1.5534 4.0092
Pb 5.5161 6.2589 9.5221
Pb -5.5054 0.2207 10.1814
Pb -2.4848 -5.7183 11.6851
Pb 6.0169 -1.0394 7.4449
Pb 2.5548 9.4152 5.2819
As -1.2599 0.8909 7.7153
As -1.2599 11.5815 1.5431
As -2.5198 -3.5635 6.1722
As 3.7797 2.6726 1.5431
As 5.0396 7.1271 0.0000
As 2.5198 3.5635 6.1722
As -3.7797 8.0179 4.6292
As 3.7797 10.6906 3.0861
As 1.2599 -3.5635 9.2583
As -2.5198 7.1271 0.0000
As -1.2599 3.5635 3.0861
As -5.0396 3.5635 6.1722
As 6.2995 3.5635 9.2583
As 8.8193 -0.8909 7.7153
As 1.2599 4.4544 10.8014
As 5.0396 -3.5635 6.1722
As 7.5594 0.0000 0.0000
As 6.2995 6.2362 4.6292
As 6.2995 -4.4544 10.8014
As 0.0000 0.0000 0.0000



3
Lattice="5.1866 0.0000 0.0000 -2.5933 4.4917 0.0000 0.0000 0.0000 3.2355" Properties=species:S:1:pos:R:3 comment="CdAsPb | the Alexandria database | PBE | relaxed" formation_enthalpy_0k_ev_per_atom=0.14 pbc="T T T"
Cd 0.0000 2.9945 0.5343
As 0.0000 0.0000 0.5416
Pb 2.5933 1.4972 2.1597



4
Lattice="-0.7024 1.0907 -3.5282 -1.4745 -3.3756 -0.7500 -6.3159 2.3201 1.9746" Properties=species:S:1:pos:R:3 comment="Cd2AsPb | the Alexandria database | PBE | relaxed" formation_enthalpy_0k_ev_per_atom=0.11 polymorph_energy_mev_per_atom=42 pbc="T T T"
Pb -3.1935 1.1731 0.9984
As -6.1232 0.7070 -0.5650
Cd -6.1824 2.2711 1.9328
Cd -2.4676 -0.6359 -1.7079



4
Lattice="7.2315 0.8159 -0.2280 4.3388 5.8426 0.2280 -5.5960 -3.6579 2.8839" Properties=species:S:1:pos:R:3 comment="CdAsPb2 | the Alexandria database | PBE | relaxed" formation_enthalpy_0k_ev_per_atom=0.09 polymorph_energy_mev_per_atom=33 pbc="T T T"
Pb 6.5785 3.7858 0.0000
Pb 10.7770 6.2020 0.0000
Cd 2.2640 2.7569 1.5559
As 3.7103 0.2436 1.3280



4
Lattice="4.1141 0.0000 0.0000 0.0000 5.5048 -0.1919 0.0000 1.4701 4.6796" Properties=species:S:1:pos:R:3 comment="CdAs2Pb | the Alexandria database | PBE | relaxed" formation_enthalpy_0k_ev_per_atom=0.08 pbc="T T T"
As 0.0000 5.4363 0.2551
As 0.0000 3.5560 1.7968
Cd 2.0571 1.7437 1.1219
Pb 2.0571 5.2312 3.3658



6
Lattice="4.2073 0.0000 0.0000 0.0000 5.1620 0.4390 0.0000 -0.7487 7.4366" Properties=species:S:1:pos:R:3 comment="CdAsPb | the Alexandria database | PBE | relaxed" formation_enthalpy_0k_ev_per_atom=0.01 pbc="T T T"
Pb 3.1555 1.0062 4.7388
Pb 1.0518 3.4071 3.1367
Cd 1.0518 1.4790 0.4579
Cd 3.1555 2.9342 7.4176
As 3.1555 0.0641 1.8809
As 1.0518 4.3491 5.9946



4
Lattice="-4.5759 -0.3831 3.1908 -3.8341 -2.8006 -2.9535 5.3242 -1.2705 1.1427" Properties=species:S:1:pos:R:3 comment="Cd2AsPb | the Alexandria database | PBE | relaxed" formation_enthalpy_0k_ev_per_atom=0.14 polymorph_energy_mev_per_atom=66 pbc="T T T"
Pb -4.2050 -1.5918 0.1186
Cd 0.0000 0.0000 0.0000
Cd -1.3575 -2.8315 -0.8461
As -1.7284 -1.6227 2.2260



5
Lattice="5.5902 0.0000 0.0000 0.0000 5.5902 0.0000 2.7951 2.7951 4.6912" Properties=species:S:1:pos:R:3 comment="CdAs2Pb2 | the Alexandria database | PBE | relaxed" formation_enthalpy_0k_ev_per_atom=0.10 polymorph_energy_mev_per_atom=0 pbc="T T T"
Pb 2.7951 5.5902 2.3456
Pb 5.5902 2.7951 2.3456
As 2.7951 2.7951 1.2299
As 5.5902 5.5902 3.4613
Cd 0.0000 0.0000 0.0000



5
Lattice="5.5804 0.0000 0.0000 0.0000 5.5804 0.0000 0.0000 0.0000 5.5804" Properties=species:S:1:pos:R:3 comment="CdAsPb3 | the Alexandria database | PBE | relaxed" formation_enthalpy_0k_ev_per_atom=0.64 polymorph_energy_mev_per_atom=223 pbc="T T T"
Pb 0.0000 2.7902 0.0000
Pb 0.0000 0.0000 2.7902
Pb 2.7902 0.0000 0.0000
Cd 0.0000 0.0000 0.0000
As 2.7902 2.7902 2.7902